No. 1
The following is a DFT calculation (PBE) of a relaxed structure of Ca2Ag2Sb.

Structure (CIF):
```
data_Ca2Ag2Sb
_space_group_name_H-M_alt 'P 4/m b m'
_space_group_IT_number 127
_space_group_name_Hall '-P 4 2ab'
_cell_length_a 7.6192
_cell_length_b 7.6192
_cell_length_c 4.4381
_cell_angle_alpha 90.00
_cell_angle_beta 90.00
_cell_angle_gamma 90.00
loop_
_atom_site_label
_atom_site_type_symbol
_atom_site_fract_x
_atom_site_fract_y
_atom_site_fract_z
Ca1 Ca 0.1791 0.3209 0.0000
Ag1 Ag 0.1256 0.6256 0.5000
Sb1 Sb 0.0000 0.0000 0.5000
```

Summary:
E_tot = -3.235 eV/atom
DOS(E_F) = 0.3718 states/eV/atom
Magnetization = 0.000 μB/f.u.
Crystal system = tetragonal

***

No. 2
The following is a DFT calculation (PBE) of a relaxed structure of CaAgSb.

Structure (CIF):
```
data_CaAgSb
_space_group_name_H-M_alt 'P 3 m 1'
_space_group_IT_number 156
_cell_length_a 4.6796
_cell_length_b 4.6796
_cell_length_c 4.2698
_cell_angle_alpha 90.00
_cell_angle_beta 90.00
_cell_angle_gamma 120.00
loop_
_space_group_symop_operation_xyz
'x,y,z'
'-y,x-y,z'
'-x+y,-x,z'
'-y,-x,z'
'-x+y,y,z'
'x,x-y,z'
loop_
_atom_site_label
_atom_site_type_symbol
_atom_site_fract_x
_atom_site_fract_y
_atom_site_fract_z
Ca1 Ca 0.0000 0.0000 0.0000
Ag1 Ag 0.3333 0.6667 0.5009
Sb1 Sb 0.6667 0.3333 0.4995
```

Summary:
E_tot = -3.588 eV/atom
DOS(E_F) = 0.4121 states/eV/atom
Magnetization = 0.000 μB/f.u.
Crystal system = trigonal

***

No. 3
The following is a DFT calculation (PBE) of a relaxed structure of CaAgSb2.

Structure (CIF):
```
data_CaAgSb2
_space_group_name_H-M_alt 'I -4 2 d'
_space_group_IT_number 122
_space_group_name_Hall 'I -4 2bw'
_cell_length_a 4.8703
_cell_length_b 4.8703
_cell_length_c 19.8209
_cell_angle_alpha 90.00
_cell_angle_beta 90.00
_cell_angle_gamma 90.00
loop_
_atom_site_label
_atom_site_type_symbol
_atom_site_fract_x
_atom_site_fract_y
_atom_site_fract_z
Ca1 Ca 0.0000 0.0000 0.0000
Ag1 Ag 0.0000 0.0000 0.5000
Sb1 Sb 0.1965 0.2500 0.6250
```

Summary:
E_tot = -3.527 eV/atom
DOS(E_F) = 0.5290 states/eV/atom
Magnetization = 0.000 μB/f.u.
Crystal system = tetragonal

***

No. 4
The following is a DFT calculation (PBE) of a relaxed structure of CaAgSb.

Structure (CIF):
```
data_CaAgSb
_space_group_name_H-M_alt 'P n m a'
_space_group_IT_number 62
_cell_length_a 6.3592
_cell_length_b 4.8489
_cell_length_c 10.5317
_cell_angle_alpha 90.00
_cell_angle_beta 90.00
_cell_angle_gamma 90.00
loop_
_space_group_symop_operation_xyz
'x,y,z'
'-x,-y,-z'
'-x+1/2,-y,z+1/2'
'x+1/2,y,-z+1/2'
'x+1/2,-y+1/2,-z+1/2'
'-x+1/2,y+1/2,z+1/2'
'-x,y+1/2,-z'
'x,-y+1/2,z'
loop_
_atom_site_label
_atom_site_type_symbol
_atom_site_fract_x
_atom_site_fract_y
_atom_site_fract_z
Ca1 Ca 0.2447 0.2500 0.0912
Ag1 Ag 0.0917 0.2500 0.7977
Sb1 Sb 0.2426 0.2500 0.3930
```

Summary:
E_tot = -3.495 eV/atom
DOS(E_F) = 0.0180 states/eV/atom
Magnetization = 0.000 μB/f.u.
Crystal system = orthorhombic